Bi2IrRh4 | Alexandria | PBE-GGA | optimized geometry; electronic total energy = -5.75 eV/atom; DFT formation energy = 0.8247 eV/atom; space-group type = I4/mmm, No. 139
1.0
-2.3675 2.3675 6.9429
2.3675 -2.3675 6.9429
2.3675 2.3675 -6.9429
Bi Ir Rh
2 1 4
Cartesian
0.0000 0.0000 1.7936 Bi
0.0000 0.0000 12.0922 Bi
0.0000 0.0000 6.9429 Ir
2.3675 0.0000 0.0000 Rh
0.0000 0.0000 4.4031 Rh
0.0000 2.3675 0.0000 Rh
0.0000 0.0000 9.4827 Rh